Record 1
# PBE DyLuBeGa, relaxed
data_DyLuBeGa
_symmetry_space_group_name_H-M 'F -4 3 m'
_symmetry_Int_Tables_number 216
_symmetry_space_group_name_Hall 'F -4 2 3'
_cell_length_a 6.907
_cell_length_b 6.907
_cell_length_c 6.907
_cell_angle_alpha 90.00
_cell_angle_beta 90.00
_cell_angle_gamma 90.00
loop_
_atom_site_label
_atom_site_fract_x
_atom_site_fract_y
_atom_site_fract_z
Dy1 0.000 0.000 0.000
Lu1 0.000 0.000 0.500
Be1 0.250 0.250 0.750
Ga1 0.250 0.250 0.250
# - DOS at the Fermi energy: 3.0 states/eV/f.u.



Record 2
# PBE DyBeGa2Ni4, relaxed
data_DyBeGa2Ni4
_symmetry_space_group_name_H-M 'R -3 m'
_symmetry_Int_Tables_number 166
_symmetry_space_group_name_Hall '-R 3 2"'
_cell_length_a 3.9957
_cell_length_b 3.9957
_cell_length_c 23.8938
_cell_angle_alpha 90.00
_cell_angle_beta 90.00
_cell_angle_gamma 120.00
loop_
_atom_site_label
_atom_site_fract_x
_atom_site_fract_y
_atom_site_fract_z
Dy1 0.0000 0.0000 0.0000
Be1 0.0000 0.0000 0.5000
Ga1 0.0000 0.0000 0.2395
Ni1 0.0000 0.0000 0.1357
Ni2 0.0000 0.0000 0.4092
# - DOS at the Fermi energy: 4.8 states/eV/f.u.



Record 3
# PBE Dy2BeGa2Ni5, relaxed
data_Dy2BeGa2Ni5
_symmetry_space_group_name_H-M 'P 4/m b m'
_symmetry_Int_Tables_number 127
_symmetry_space_group_name_Hall '-P 4 2ab'
_cell_length_a 9.826
_cell_length_b 9.826
_cell_length_c 3.034
_cell_angle_alpha 90.00
_cell_angle_beta 90.00
_cell_angle_gamma 90.00
loop_
_atom_site_label
_atom_site_fract_x
_atom_site_fract_y
_atom_site_fract_z
Dy1 0.172 0.328 0.000
Be1 0.000 0.000 0.000
Ga1 0.131 0.631 0.000
Ni1 0.000 0.500 0.500
Ni2 0.050 0.818 0.500
# - DOS at the Fermi energy: 7.0 states/eV/f.u.



Record 4
# PBE Dy2BeGaNi6, relaxed
data_Dy2BeGaNi6
_symmetry_space_group_name_H-M 'F m -3 m'
_symmetry_Int_Tables_number 225
_symmetry_space_group_name_Hall '-F 4 2 3'
_cell_length_a 8.469
_cell_length_b 8.469
_cell_length_c 8.469
_cell_angle_alpha 90.00
_cell_angle_beta 90.00
_cell_angle_gamma 90.00
loop_
_atom_site_label
_atom_site_fract_x
_atom_site_fract_y
_atom_site_fract_z
Dy1 0.250 0.250 0.250
Be1 0.000 0.000 0.000
Ga1 0.000 0.000 0.500
Ni1 0.000 0.000 0.233
# - DOS at the Fermi energy: 7.8 states/eV/f.u.



Record 5
# PBE Dy2BeGa4Pd3, relaxed
data_Dy2BeGa4Pd3
_symmetry_space_group_name_H-M 'P -4 m 2'
_symmetry_Int_Tables_number 115
_symmetry_space_group_name_Hall 'P -4 -2'
_cell_length_a 4.002
_cell_length_b 4.002
_cell_length_c 11.271
_cell_angle_alpha 90.00
_cell_angle_beta 90.00
_cell_angle_gamma 90.00
loop_
_atom_site_label
_atom_site_fract_x
_atom_site_fract_y
_atom_site_fract_z
Dy1 0.000 0.500 0.242
Be1 0.500 0.500 0.000
Ga1 0.000 0.000 0.500
Ga2 0.000 0.500 0.870
Ga3 0.500 0.500 0.500
Pd1 0.000 0.000 0.000
Pd2 0.000 0.500 0.647
# - DOS at the Fermi energy: 5.3 states/eV/f.u.



Record 6
# PBE Dy3Be2GaPt9, relaxed
data_Dy3Be2GaPt9
_symmetry_space_group_name_H-M 'P -3 m 1'
_symmetry_Int_Tables_number 164
_symmetry_space_group_name_Hall '-P 3 2"'
_cell_length_a 5.7327
_cell_length_b 5.7327
_cell_length_c 9.4584
_cell_angle_alpha 90.00
_cell_angle_beta 90.00
_cell_angle_gamma 120.00
loop_
_atom_site_label
_atom_site_fract_x
_atom_site_fract_y
_atom_site_fract_z
Dy1 0.0000 0.0000 0.0000
Dy2 0.3333 0.6667 0.6054
Be1 0.3333 0.6667 0.1518
Ga1 0.0000 0.0000 0.5000
Pt1 0.0000 0.5000 0.0000
Pt2 0.1652 0.3303 0.3008
# - DOS at the Fermi energy: 5.6 states/eV/f.u.



Record 7
# PBE DyBeGaPt2, relaxed
data_DyBeGaPt2
_symmetry_space_group_name_H-M 'I -4 m 2'
_symmetry_Int_Tables_number 119
_symmetry_space_group_name_Hall 'I -4 -2'
_cell_length_a 3.830
_cell_length_b 3.830
_cell_length_c 11.883
_cell_angle_alpha 90.00
_cell_angle_beta 90.00
_cell_angle_gamma 90.00
loop_
_atom_site_label
_atom_site_fract_x
_atom_site_fract_y
_atom_site_fract_z
Dy1 0.000 0.000 0.000
Be1 0.000 0.500 0.750
Ga1 0.000 0.500 0.250
Pt1 0.000 0.000 0.384
# - DOS at the Fermi energy: 2.2 states/eV/f.u.



Record 8
# PBE Dy2Be4GaPt3, relaxed
data_Dy2Be4GaPt3
_symmetry_space_group_name_H-M 'P -4 m 2'
_symmetry_Int_Tables_number 115
_symmetry_space_group_name_Hall 'P -4 -2'
_cell_length_a 3.977
_cell_length_b 3.977
_cell_length_c 9.745
_cell_angle_alpha 90.00
_cell_angle_beta 90.00
_cell_angle_gamma 90.00
loop_
_atom_site_label
_atom_site_fract_x
_atom_site_fract_y
_atom_site_fract_z
Dy1 0.000 0.500 0.248
Be1 0.000 0.000 0.000
Be2 0.000 0.500 0.636
Be3 0.500 0.500 0.000
Ga1 0.000 0.000 0.500
Pt1 0.000 0.500 0.878
Pt2 0.500 0.500 0.500
# - DOS at the Fermi energy: 5.8 states/eV/f.u.



Record 9
# PBE DyBeGaPt3, relaxed
data_DyBeGaPt3
_symmetry_space_group_name_H-M 'C m c m'
_symmetry_Int_Tables_number 63
_symmetry_space_group_name_Hall '-C 2c 2'
_cell_length_a 6.221
_cell_length_b 12.055
_cell_length_c 5.597
_cell_angle_alpha 90.00
_cell_angle_beta 90.00
_cell_angle_gamma 90.00
loop_
_atom_site_label
_atom_site_fract_x
_atom_site_fract_y
_atom_site_fract_z
Dy1 0.000 0.219 0.250
Be1 0.000 0.472 0.250
Ga1 0.000 0.135 0.750
Pt1 0.000 0.333 0.750
Pt2 0.225 0.000 0.000
# - DOS at the Fermi energy: 3.0 states/eV/f.u.



Record 10
# PBE Dy2BeGaPt6, relaxed
data_Dy2BeGaPt6
_symmetry_space_group_name_H-M 'C 1 2/m 1'
_symmetry_Int_Tables_number 12
_symmetry_space_group_name_Hall '-C 2y'
_cell_length_a 9.770
_cell_length_b 5.642
_cell_length_c 7.429
_cell_angle_alpha 90.00
_cell_angle_beta 116.04
_cell_angle_gamma 90.00
loop_
_atom_site_label
_atom_site_fract_x
_atom_site_fract_y
_atom_site_fract_z
Dy1 0.209 0.000 0.128
Be1 0.000 0.000 0.500
Ga1 0.000 0.500 0.000
Pt1 0.013 0.255 0.287
Pt2 0.241 0.000 0.713
# - DOS at the Fermi energy: 2.7 states/eV/f.u.



Record 11
# PBE Dy2BeGa4Pt3, relaxed
data_Dy2BeGa4Pt3
_symmetry_space_group_name_H-M 'P -4 m 2'
_symmetry_Int_Tables_number 115
_symmetry_space_group_name_Hall 'P -4 -2'
_cell_length_a 4.067
_cell_length_b 4.067
_cell_length_c 10.980
_cell_angle_alpha 90.00
_cell_angle_beta 90.00
_cell_angle_gamma 90.00
loop_
_atom_site_label
_atom_site_fract_x
_atom_site_fract_y
_atom_site_fract_z
Dy1 0.000 0.500 0.243
Be1 0.500 0.500 0.000
Ga1 0.000 0.000 0.500
Ga2 0.000 0.500 0.872
Ga3 0.500 0.500 0.500
Pt1 0.000 0.000 0.000
Pt2 0.000 0.500 0.644
# - DOS at the Fermi energy: 4.4 states/eV/f.u.



Record 12
# PBE Dy3BeGa2Ru3, relaxed
data_Dy3BeGa2Ru3
_symmetry_space_group_name_H-M 'P -6 2 m'
_symmetry_Int_Tables_number 189
_symmetry_space_group_name_Hall 'P -6 -2'
_cell_length_a 7.1299
_cell_length_b 7.1299
_cell_length_c 3.6699
_cell_angle_alpha 90.00
_cell_angle_beta 90.00
_cell_angle_gamma 120.00
loop_
_atom_site_label
_atom_site_fract_x
_atom_site_fract_y
_atom_site_fract_z
Dy1 0.0000 0.6302 0.0000
Be1 0.0000 0.0000 0.0000
Ga1 0.3333 0.6667 0.5000
Ru1 0.0000 0.2387 0.5000
# - DOS at the Fermi energy: 6.5 states/eV/f.u.



| no. | energy of formation from the pure elements (eV per atom) |
| --- | --- |
| 1 | -0.2452 |
| 2 | -0.4470 |
| 3 | -0.2716 |
| 4 | -0.1640 |
| 5 | -0.6585 |
| 6 | -0.8528 |
| 7 | -0.8658 |
| 8 | -0.7629 |
| 9 | -0.7579 |
| 10 | -0.8792 |
| 11 | -0.8046 |
| 12 | -0.4299 |